{
  "formula": "SrNbBI2",
  "functional": "PBE-GGA",
  "state": "optimized geometry",
  "lattice": [[-4.381, -2.635, -3.509], [2.388, -6.209, 1.681], [-3.821, -0.148, 4.882]],
  "species": ["I", "I", "Sr", "Nb", "B"],
  "frac_coords": [[0.000, 0.000, 0.500], [0.500, 0.000, 0.000], [0.000, 0.000, 0.000], [0.000, 0.500, 0.000], [0.500, 0.500, 0.500]],
  "sg": "No. 123",
  "final_energy_ev_per_atom": -2.737
}